(1)
First-principles (PBE) data for crystalline CaSnBrCl3 at its relaxed geometry, as listed in the Alexandria database.

Cell lengths 4.2721, 9.1924, 11.5239 Å; angles 90.00, 90.00, 103.44 degrees
Closest atoms and distances in Å follow each position.
Fractional coordinates of all 12 atoms:
Cl 0.3942 0.7883 0.5143  1 Ca 2.79, 2 Sn 2.86
Sn 0.0000 0.0000 0.0000  6 Cl 2.86-2.92
Cl 0.6058 0.2117 0.0143  1 Ca 2.79, 2 Sn 2.86
Cl 0.3942 0.7883 0.9857  1 Ca 2.79, 2 Sn 2.86
Cl 0.6058 0.2117 0.4857  1 Ca 2.79, 2 Sn 2.86
Sn 0.0000 0.0000 0.5000  6 Cl 2.86-2.92
Ca 0.6412 0.2824 0.2500  4 Cl 2.79-2.97, 2 Br 2.79
Cl 0.9740 0.9480 0.7500  2 Sn 2.92, 2 Ca 2.97
Br 0.7585 0.5170 0.7500  2 Ca 2.79
Ca 0.3588 0.7176 0.7500  4 Cl 2.79-2.97, 2 Br 2.79
Cl 0.0260 0.0520 0.2500  2 Sn 2.92, 2 Ca 2.97
Br 0.2415 0.4830 0.2500  2 Ca 2.79

## Properties
SG: Cmcm, No. 63
E_tot (eV/atom): -3.77



(2)
First-principles (PBE) data for crystalline CaSn3Br6Cl2 at its relaxed geometry, as listed in the Alexandria database.

Cell lengths 6.5360, 8.5192, 8.5794 Å; angles 119.77, 92.81, 90.00 degrees
Closest atoms and distances in Å follow each position.
Fractional coordinates of all 12 atoms:
Cl 0.7404 0.3359 0.6718  3 Sn 2.90
Cl 0.2596 0.6641 0.3282  3 Sn 2.90
Br 0.2461 0.6655 0.8241  1 Ca 2.94, 2 Sn 3.01-3.03
Br 0.2515 0.1544 0.3089  1 Ca 2.89, 2 Sn 2.99
Ca 0.5000 0.0000 0.0000  6 Br 2.89-2.94
Br 0.7485 0.8456 0.6911  1 Ca 2.89, 2 Sn 2.99
Sn 0.5000 0.5000 0.5000  2 Cl 2.90, 4 Br 2.99-3.01
Br 0.7539 0.8415 0.1759  1 Ca 2.94, 2 Sn 3.01-3.03
Sn 0.0000 0.5000 0.0000  2 Cl 2.90, 4 Br 3.03
Sn 0.5000 0.0000 0.5000  2 Cl 2.90, 4 Br 2.99-3.01
Br 0.7539 0.3345 0.1759  1 Ca 2.94, 2 Sn 3.01-3.03
Br 0.2461 0.1585 0.8241  1 Ca 2.94, 2 Sn 3.01-3.03

## Properties
SG: C2/m, No. 12
E_tot (eV/atom): -3.43



(3)
First-principles (PBE) data for crystalline SrCa2BrCl at its relaxed geometry, as listed in the Alexandria database.

Cell lengths 5.2635, 8.3014, 5.2635 Å; angles 90.00, 90.00, 90.00 degrees
Closest atoms and distances in Å follow each position.
Fractional coordinates of all 5 atoms:
Ca 0.0000 0.0000 0.5000  2 Cl 2.63
Sr 0.0000 0.5000 0.0000  4 Br 3.72, 2 Cl 4.15
Br 0.5000 0.5000 0.5000  4 Sr 3.72
Ca 0.5000 0.0000 0.0000  2 Cl 2.63
Cl 0.0000 0.0000 0.0000  4 Ca 2.63

## Properties
SG: P4/mmm, No. 123
E_tot (eV/atom): -2.53



(4)
First-principles (PBE) data for crystalline Ca2TaBrCl at its relaxed geometry, as listed in the Alexandria database.

Cell lengths 5.6610, 4.4795, 5.6610 Å; angles 90.00, 90.00, 90.00 degrees
Closest atoms and distances in Å follow each position.
Fractional coordinates of all 5 atoms:
Ca 0.0000 0.0000 0.5000  2 Cl 2.83
Br 0.5000 0.5000 0.5000  8 Ca 3.61, 4 Ta 4.00
Cl 0.0000 0.0000 0.0000  2 Ta 2.24
Ta 0.0000 0.5000 0.0000  2 Cl 2.24
Ca 0.5000 0.0000 0.0000  2 Cl 2.83

## Properties
SG: P4/mmm, No. 123
E_tot (eV/atom): -3.83



(5)
First-principles (PBE) data for crystalline CaTa2BrCl at its relaxed geometry, as listed in the Alexandria database.

Cell lengths 5.5540, 5.2915, 5.5540 Å; angles 90.00, 90.00, 90.00 degrees
Closest atoms and distances in Å follow each position.
Fractional coordinates of all 5 atoms:
Cl 0.5000 0.5000 0.5000  8 Ta 3.84, 4 Br 3.93
Ta 0.0000 0.0000 0.5000  2 Ca 2.78
Ta 0.5000 0.0000 0.0000  2 Ca 2.78
Ca 0.0000 0.0000 0.0000  2 Br 2.65, 4 Ta 2.78
Br 0.0000 0.5000 0.0000  2 Ca 2.65

## Properties
SG: P4/mmm, No. 123
E_tot (eV/atom): -3.88



(6)
First-principles (PBE) data for crystalline CaTcBrCl2 at its relaxed geometry, as listed in the Alexandria database.

Cell lengths 5.9863, 4.5627, 5.9863 Å; angles 90.00, 90.00, 90.00 degrees
Closest atoms and distances in Å follow each position.
Fractional coordinates of all 5 atoms:
Cl 0.5000 0.0000 0.0000  2 Br 2.99
Tc 0.0000 0.5000 0.0000  2 Br 2.28
Br 0.0000 0.0000 0.0000  2 Tc 2.28
Cl 0.0000 0.0000 0.5000  2 Br 2.99
Ca 0.5000 0.5000 0.5000  8 Cl 3.76

## Properties
SG: P4/mmm, No. 123
E_tot (eV/atom): -3.29



(7)
First-principles (PBE) data for crystalline CaTl2Br2Cl2 at its relaxed geometry, as listed in the Alexandria database.

Cell lengths 5.7391, 5.7391, 8.8309 Å; angles 108.96, 108.96, 90.00 degrees
Closest atoms and distances in Å follow each position.
Fractional coordinates of all 7 atoms:
Br 0.0000 0.5000 0.0000  2 Ca 2.87
Cl 0.8285 0.8285 0.6571  1 Ca 2.69, 1 Tl 2.95
Ca 0.0000 0.0000 0.0000  2 Cl 2.69, 4 Br 2.87
Br 0.5000 0.0000 0.0000  2 Ca 2.87
Cl 0.1715 0.1715 0.3429  1 Ca 2.69, 1 Tl 2.95
Tl 0.3592 0.3592 0.7185  1 Cl 2.95
Tl 0.6408 0.6408 0.2815  1 Cl 2.95

## Properties
SG: I4/mmm, No. 139
E_tot (eV/atom): -3.40



(8)
First-principles (PBE) data for crystalline CaW2BrCl at its relaxed geometry, as listed in the Alexandria database.

Cell lengths 6.0273, 5.0409, 6.0273 Å; angles 90.00, 90.00, 90.00 degrees
Closest atoms and distances in Å follow each position.
Fractional coordinates of all 5 atoms:
Br 0.5000 0.5000 0.5000  8 W 3.93, 4 Cl 4.26
W 0.5000 0.0000 0.0000  2 Ca 3.01
Cl 0.0000 0.5000 0.0000  2 Ca 2.52
Ca 0.0000 0.0000 0.0000  2 Cl 2.52
W 0.0000 0.0000 0.5000  2 Ca 3.01

## Properties
SG: P4/mmm, No. 123
E_tot (eV/atom): -4.11



(9)
First-principles (PBE) data for crystalline Ca2CoBr at its relaxed geometry, as listed in the Alexandria database.

Cell lengths 5.1729, 5.1729, 5.1729 Å; angles 60.00, 60.00, 60.00 degrees
Closest atoms and distances in Å follow each position.
Fractional coordinates of all 4 atoms:
Ca 0.2500 0.2500 0.2500  4 Co 3.17, 4 Br 3.17
Co 0.0000 0.0000 0.0000  8 Ca 3.17
Ca 0.7500 0.7500 0.7500  4 Br 3.17, 4 Co 3.17
Br 0.5000 0.5000 0.5000  8 Ca 3.17

## Properties
SG: Fm-3m, No. 225
Relative energy among the computed polymorphs (meV/atom): 321
E_tot (eV/atom): -3.34



(10)
First-principles (PBE) data for crystalline CaCoBr3 at its relaxed geometry, as listed in the Alexandria database.

Cell lengths 5.6060, 5.6060, 5.6060 Å; angles 90.00, 90.00, 90.00 degrees
Closest atoms and distances in Å follow each position.
Fractional coordinates of all 5 atoms:
Ca 0.0000 0.0000 0.0000  6 Br 2.80
Br 0.0000 0.0000 0.5000  2 Ca 2.80
Br 0.5000 0.0000 0.0000  2 Ca 2.80
Br 0.0000 0.5000 0.0000  2 Ca 2.80
Co 0.5000 0.5000 0.5000  12 Br 3.96

## Properties
SG: Pm-3m, No. 221
Relative energy among the computed polymorphs (meV/atom): 327
E_tot (eV/atom): -3.23



(11)
First-principles (PBE) data for crystalline Ca2CoBr at its relaxed geometry, as listed in the Alexandria database.

Cell lengths 7.3554, 7.3554, 6.6292 Å; angles 56.30, 56.30, 90.00 degrees
Closest atoms and distances in Å follow each position.
Fractional coordinates of all 8 atoms:
Co 0.5000 0.5000 0.0000  4 Ca 2.63
Ca 0.5892 0.1250 0.2500  2 Co 2.63
Ca 0.8750 0.8392 0.7500  2 Co 2.63
Br 0.0000 0.0000 0.0000  4 Ca 2.98
Ca 0.1608 0.6250 0.2500  2 Co 2.63
Ca 0.3750 0.4108 0.7500  2 Co 2.63
Co 0.2500 0.7500 0.5000  4 Ca 2.63
Br 0.7500 0.2500 0.5000  4 Ca 2.98

## Properties
SG: I-42d, No. 122
Relative energy among the computed polymorphs (meV/atom): 317
E_tot (eV/atom): -3.34



(12)
First-principles (PBE) data for crystalline Ca4CoBr at its relaxed geometry, as listed in the Alexandria database.

Cell lengths 6.7568, 6.7568, 6.7568 Å; angles 60.00, 60.00, 60.00 degrees
Closest atoms and distances in Å follow each position.
Fractional coordinates of all 6 atoms:
Ca 0.3761 0.3761 0.3761  6 Ca 3.35-3.41
Br 0.0000 0.0000 0.0000  12 Ca 3.96, 4 Co 4.14
Ca 0.3761 0.3761 0.8718  6 Ca 3.35-3.41
Ca 0.8718 0.3761 0.3761  6 Ca 3.35-3.41
Co 0.7500 0.7500 0.7500  12 Ca 3.96, 4 Br 4.14
Ca 0.3761 0.8718 0.3761  6 Ca 3.35-3.41

## Properties
SG: F-43m, No. 216
E_tot (eV/atom): -2.26